Record 1
{"formula": "La2SnCF", "functional": "PBE-GGA", "state": "optimized geometry", "lattice_angstrom": [[6.1243, 0.0000, 0.0000], [0.0000, 4.2573, 0.0000], [0.0000, 0.0000, 6.1243]], "species": ["C", "F", "Sn", "La", "La"], "fractional_positions": [[0.0000, 0.5000, 0.0000], [0.5000, 0.5000, 0.5000], [0.0000, 0.0000, 0.0000], [0.0000, 0.0000, 0.5000], [0.5000, 0.0000, 0.0000]], "sg": "P4/mmm (123)", "e_form_raw_ev_per_atom": 0.302}

Record 2
{"formula": "Np3U3BeN8", "functional": "PBE-GGA", "state": "optimized geometry", "lattice_angstrom": [[-4.9621, -1.4494, 4.2630], [5.5445, -3.7550, -0.0888], [0.2150, 6.2278, 2.3677]], "species": ["Np", "Np", "Np", "U", "U", "U", "Be", "N", "N", "N", "N", "N", "N", "N", "N"], "fractional_positions": [[0.0000, 0.0000, 0.0000], [0.0000, 0.5000, 0.0000], [0.5000, 0.5000, 0.0000], [0.5000, 0.0000, 0.5000], [0.5000, 0.5000, 0.5000], [0.0000, 0.5000, 0.5000], [0.0000, 0.0000, 0.5000], [0.2512, 0.5023, 0.2535], [0.7488, 0.4977, 0.7465], [0.7685, 0.5371, 0.2719], [0.2315, 0.4629, 0.7281], [0.7689, 0.0035, 0.2723], [0.2311, 0.9965, 0.7277], [0.2346, 0.0035, 0.2723], [0.7654, 0.9965, 0.7277]], "sg": "R-3m (166)", "e_form_raw_ev_per_atom": -0.908}

Record 3
{"formula": "CsZnAsPb", "functional": "PBE-GGA", "state": "optimized geometry", "lattice_angstrom": [[4.3549, 0.0000, 0.0000], [0.0000, 4.3549, 0.0000], [0.0000, 0.0000, 14.7370]], "species": ["Cs", "Cs", "Zn", "Zn", "As", "As", "Pb", "Pb"], "fractional_positions": [[0.7500, 0.7500, 0.2283], [0.2500, 0.2500, 0.7717], [0.7500, 0.2500, 0.0000], [0.2500, 0.7500, 0.0000], [0.7500, 0.7500, 0.9011], [0.2500, 0.2500, 0.0989], [0.2500, 0.7500, 0.5000], [0.7500, 0.2500, 0.5000]], "formation_enthalpy_0k_ev_per_atom": -0.2244, "sg": "P4/nmm (129)"}

It is found that the VASP energy values, taken in the order of the records, are -4.6890 -10.4420 -2.8457 eV per atom.
It is found that the Fermi-level density of states values, taken in the order of the records, are 3.8 20.8 3.7 states/eV/f.u..
It is found that the calculated volume values, taken in the order of the records, are 31.94 14.07 34.94 Å³ per atom.